1.
Cd2In2Pd4Au: relaxed, GGA-PBE.

Calculated values
ΔH_f (0 K): -0.0324 eV/atom

Unit cell a=6.563 b=6.563 c=8.658 alpha=90.00 beta=90.00 gamma=90.00
Space group I4/mmm (No. 139)
Inequivalent atoms, fractional coordinates:
Cd  0.000  0.000  0.203 x4
In  0.000  0.500  0.250 x4
Pd  0.221  0.221  0.000 x8
Au  0.000  0.000  0.500 x2

***

2.
PmCdIn2Au4: relaxed, GGA-PBE.

Calculated values
ΔH_f (0 K): -0.4172 eV/atom

Unit cell a=4.7527 b=4.7527 c=26.6578 alpha=90.00 beta=90.00 gamma=120.00
Space group R-3m (No. 166, hexagonal axes)
Inequivalent atoms, fractional coordinates:
Pm  0.0000  0.0000  0.0000 x3
Cd  0.0000  0.0000  0.5000 x3
In  0.0000  0.0000  0.2466 x6
Au  0.0000  0.0000  0.1290 x6
Au  0.0000  0.0000  0.3882 x6

***

3.
Pm4Cd2InAu: relaxed, GGA-PBE.

Calculated values
ΔH_f (0 K): -0.4670 eV/atom

Unit cell a=5.3690 b=5.3690 c=26.2964 alpha=90.00 beta=90.00 gamma=120.00
Space group R-3m (No. 166, hexagonal axes)
Inequivalent atoms, fractional coordinates:
Pm  0.0000  0.0000  0.1202 x6
Pm  0.0000  0.0000  0.3710 x6
Cd  0.0000  0.0000  0.2448 x6
In  0.0000  0.0000  0.5000 x3
Au  0.0000  0.0000  0.0000 x3

***

Number 1: N(E_F) 5.45 states/eV/f.u.. Number 2: N(E_F) 2.08 states/eV/f.u.. Number 3: N(E_F) 8.84 states/eV/f.u..